Entry from Alexandria: a relaxed structure of NaTl4Hg2Pb2 (PBE-GGA).

Symmetry ... No. 12
Energy ... -2.118 eV per atom
ΔH_f (0 K) ... -0.028 eV per atom

a b c (Å): 4.6005 7.7765 7.9819
angles (deg): 104.11 90.00 107.21
Fractional positions:
Tl 0.7788 0.5576 0.6659
Na 0.0000 0.0000 0.0000
Tl 0.2212 0.4424 0.3341
Hg 0.1095 0.2190 0.6801
Tl 0.4469 0.8938 0.6624
Hg 0.8905 0.7810 0.3199
Tl 0.5531 0.1062 0.3376
Pb 0.3300 0.6601 0.0057
Pb 0.6700 0.3399 0.9943

Entry from Alexandria: a relaxed structure of Na3Tl2Hg4Pb2 (PBE-GGA).

Symmetry ... No. 164
Energy ... -1.679 eV per atom
ΔH_f (0 K) ... -0.105 eV per atom

a b c (Å): 5.1679 5.1679 14.0084
angles (deg): 90.00 90.00 120.00
Fractional positions:
Na 0.0000 0.0000 0.0000
Pb 0.3333 0.6667 0.5643
Hg 0.6667 0.3333 0.1211
Na 0.0000 0.0000 0.2629
Hg 0.6667 0.3333 0.6574
Hg 0.3333 0.6667 0.3426
Hg 0.3333 0.6667 0.8789
Tl 0.3333 0.6667 0.1265
Pb 0.6667 0.3333 0.4357
Na 0.0000 0.0000 0.7371
Tl 0.6667 0.3333 0.8735

Q: What is the ΔH_f (0 K) in the second record?
A: -0.105 eV per atom

Q: Which of these has the highest energy?
A: Na3Tl2Hg4Pb2

Q: Which of these has the highest energy?
A: Na3Tl2Hg4Pb2

Q: Which formula does entry 2 have?
A: Na3Tl2Hg4Pb2